! Mg2TaBr PBE-GGA relaxed; values from VASP
&SYSTEM
  ibrav = 0, nat = 4, ntyp = 3
/
ATOMIC_SPECIES
Mg 24.30 Mg.upf
Ta 180.95 Ta.upf
Br 79.90 Br.upf
CELL_PARAMETERS angstrom
-2.599 0.759 -4.829
1.233 -3.727 -3.903
-1.565 -0.243 5.305
ATOMIC_POSITIONS angstrom
Mg -0.507 -2.727 -1.482
Mg 0.000 0.000 0.000
Ta -0.683 -1.484 -4.366
Br -2.424 -0.484 -1.945
! ΔE_f (raw) ... 0.584 eV/atom
! Relative energy among the computed polymorphs ... 2.49 eV/f.u.